Record 1
The following is a DFT calculation (GGA-PBE) of CoWCl2 after structural relaxation.

Structure (extended XYZ):
```
4
Lattice="1.6313 0.9419 8.4517 -1.6313 0.9419 8.4517 0.0000 -1.8837 8.4517" Properties=species:S:1:pos:R:3 pbc="T T T"
Co 0.0000 0.0000 0.0000
W 0.0000 0.0000 18.3545
Cl 0.0000 0.0000 6.8985
Cl 0.0000 0.0000 11.7343
```

Properties
As for the calculated volume: 19.48 Å³ per atom. Its magnetic moment is 1.02 μB per cell. The final energy comes out at -23.80 eV per cell. The energy relative to the elements, uncorrected comes out at -0.012 eV per atom. The calculation puts the density of states at the Fermi level at 0.88 states/eV/f.u. The calculation puts the energy above the lowest structure with this stoichiometry at 0.109 eV/atom.

---

Record 2
The following is a DFT calculation (GGA-PBE) of TmBe4Ru after structural relaxation.

Structure (extended XYZ):
```
6
Lattice="0.0000 3.2799 3.2799 3.2799 0.0000 3.2799 3.2799 3.2799 0.0000" Properties=species:S:1:pos:R:3 pbc="T T T"
Tm 0.0000 0.0000 0.0000
Be 2.4801 2.4801 2.4801
Be 4.0798 4.0798 2.4801
Be 4.0798 2.4801 4.0798
Be 2.4801 4.0798 4.0798
Ru 4.9199 4.9199 4.9199
```

Properties
As for the calculated volume: 11.76 Å³ per atom. Its magnetic moment is 0.00 μB per cell. The final energy comes out at -30.07 eV per cell. The formation energy is -0.237 eV per atom. The calculation puts the density of states at the Fermi level at 5.54 states/eV/f.u.

---

Record 3
The following is a DFT calculation (GGA-PBE) of Zr2AlCl after structural relaxation.

Structure (extended XYZ):
```
4
Lattice="-1.5874 2.8533 4.5818 1.5874 -2.8533 4.5818 1.5874 2.8533 -4.5818" Properties=species:S:1:pos:R:3 pbc="T T T"
Zr 0.0000 0.0000 2.1125
Zr 0.0000 0.0000 7.0510
Al 0.0000 2.8533 0.0000
Cl 1.5874 0.0000 0.0000
```

Properties
As for the calculated volume: 20.75 Å³ per atom. Its magnetic moment is 0.00 μB per cell. The final energy comes out at -24.01 eV per cell. The energy relative to the elements, uncorrected comes out at -0.330 eV per atom. The calculation puts the density of states at the Fermi level at 2.42 states/eV/f.u. The calculation puts the energy above the lowest structure with this stoichiometry at 0.248 eV/atom.

---

Record 4
The following is a DFT calculation (GGA-PBE) of PrZrIrO6 after structural relaxation.

Structure (extended XYZ):
```
18
Lattice="5.3784 0.0000 0.0000 -2.6892 4.6579 0.0000 0.0000 0.0000 10.3538" Properties=species:S:1:pos:R:3 pbc="T T T"
Pr 0.0000 0.0000 0.0000
Pr 0.0000 0.0000 5.1769
Zr 0.0000 3.1053 2.5885
Zr 2.6892 1.5526 7.7654
Ir 0.0000 3.1053 7.7654
Ir 2.6892 1.5526 2.5885
O -0.8907 1.7130 6.6459
O -1.6510 3.0300 8.8848
O 0.8907 1.7130 8.8848
O -0.7603 4.5727 6.6459
O 1.9289 0.0852 1.4690
O 1.0382 1.6279 3.7079
O 1.6510 3.0300 6.6459
O 0.7603 4.5727 8.8848
O 3.4496 0.0852 3.7079
O 1.7985 2.9448 1.4690
O 4.3402 1.6279 1.4690
O 3.5799 2.9448 3.7079
```

Properties
As for the calculated volume: 14.41 Å³ per atom. Its magnetic moment is 4.05 μB per cell. The final energy comes out at -144.54 eV per cell. The energy relative to the elements, uncorrected comes out at -2.259 eV per atom. The calculation puts the density of states at the Fermi level at 3.95 states/eV/f.u.

---

Record 5
The following is a DFT calculation (GGA-PBE) of CaRuSe2 after structural relaxation.

Structure (extended XYZ):
```
8
Lattice="-2.9220 2.9220 6.3744 2.9220 -2.9220 6.3744 2.9220 2.9220 -6.3744" Properties=species:S:1:pos:R:3 pbc="T T T"
Ca 0.0000 0.0000 0.0000
Ca 0.0000 2.9220 3.1872
Ru 2.9220 0.0000 3.1872
Ru 0.0000 0.0000 6.3744
Se 1.4610 -1.0734 4.7808
Se 1.8485 1.4610 1.5936
Se 1.4610 3.9954 -1.5936
Se 1.0734 1.4610 7.9680
```

Properties
As for the calculated volume: 27.21 Å³ per atom. Its magnetic moment is 0.00 μB per cell. The final energy comes out at -41.23 eV per cell. The energy relative to the elements, uncorrected comes out at -0.592 eV per atom. The calculation puts the density of states at the Fermi level at 4.40 states/eV/f.u. The calculation puts the energy above the lowest structure with this stoichiometry at 0.284 eV/atom.

---

Record 6
The following is a DFT calculation (GGA-PBE) of PmZnNiN after structural relaxation.

Structure (extended XYZ):
```
8
Lattice="3.7398 0.0000 0.0000 0.0000 3.7398 0.0000 0.0000 0.0000 8.8838" Properties=species:S:1:pos:R:3 pbc="T T T"
Pm 0.9349 0.9349 1.2626
Pm 2.8048 2.8048 7.6211
Zn 0.9349 2.8048 4.4419
Zn 2.8048 0.9349 4.4419
Ni 0.9349 0.9349 6.0115
Ni 2.8048 2.8048 2.8723
N 0.9349 0.9349 7.8196
N 2.8048 2.8048 1.0642
```

Properties
As for the calculated volume: 15.53 Å³ per atom. Its magnetic moment is 0.00 μB per cell. The final energy comes out at -46.08 eV per cell. The energy relative to the elements, uncorrected comes out at -0.727 eV per atom. The calculation puts the density of states at the Fermi level at 1.27 states/eV/f.u.

---

Q: Among the records above, which one has the highest calculated volume?
A: CaRuSe2

---

Q: Which value of calculated volume does entry 1 give?
A: 19.48 Å³ per atom

---

Q: Which of these has the lowest final energy?
A: PrZrIrO6